<1>
DFT (PBE) results for a relaxed structure of Cs3Bi4Pb4.

Properties
total moment: 0.0 μB per formula unit
V: 457.9 Å³ per cell
DOS at the Fermi energy: 6.30 states/eV per cell

Lattice parameters (Å, degrees): 10.3401 10.3401 10.3401 146.37 130.96 60.78
Closest atoms and distances in Å follow each position.
Sites, in units of the cell vectors:
Cs 0.0000 0.0000 0.0000  6 Bi 3.87-4.05
Cs 0.3805 0.8805 0.5000  6 Bi 3.99-4.18, 6 Pb 4.07-4.09, 1 Cs 4.26
Cs 0.6195 0.1195 0.5000  6 Bi 3.99-4.18, 6 Pb 4.07-4.09, 1 Cs 4.26
Bi 0.2169 0.2169 0.0000  6 Pb 3.29-3.51
Bi 0.3182 0.5000 0.8182  1 Bi 3.12, 2 Pb 3.26
Bi 0.6818 0.5000 0.1818  1 Bi 3.12, 2 Pb 3.26
Bi 0.7831 0.7831 0.0000  6 Pb 3.29-3.51
Pb 0.0213 0.3275 0.6938  4 Bi 3.26-3.51, 1 Pb 3.33
Pb 0.3662 0.6725 0.6938  4 Bi 3.26-3.51, 1 Pb 3.33
Pb 0.6338 0.3275 0.3062  4 Bi 3.26-3.51, 1 Pb 3.33
Pb 0.9787 0.6725 0.3062  4 Bi 3.26-3.51, 1 Pb 3.33

=====

<2>
DFT (PBE) results for a relaxed structure of Cs3Bi4Pb4.

Properties
total moment: 0.0 μB per formula unit
V: 504.4 Å³ per cell
DOS at the Fermi energy: 3.45 states/eV per cell

Lattice parameters (Å, degrees): 5.2498 5.8097 16.9899 80.17 81.23 90.00
Closest atoms and distances in Å follow each position.
Sites, in units of the cell vectors:
Cs 0.0000 0.0000 0.0000  8 Bi 4.23, 4 Pb 4.34-4.35
Cs 0.3533 0.8534 0.2934  8 Pb 4.23-4.56, 6 Bi 4.24-4.36
Cs 0.6467 0.1466 0.7066  8 Pb 4.23-4.56, 6 Bi 4.24-4.36
Bi 0.1962 0.6962 0.6081  5 Pb 3.23-3.36
Bi 0.4515 0.4514 0.0969  2 Pb 3.09, 1 Bi 3.21
Bi 0.5485 0.5486 0.9031  2 Pb 3.09, 1 Bi 3.21
Bi 0.8038 0.3038 0.3919  5 Pb 3.23-3.36
Pb 0.0973 0.5985 0.8046  3 Bi 3.09-3.25
Pb 0.2471 0.2472 0.5060  4 Bi 3.23-3.36
Pb 0.7529 0.7528 0.4940  4 Bi 3.23-3.36
Pb 0.9027 0.4015 0.1954  3 Bi 3.09-3.25

=====

In terms of stability, <2> leads; the second structure lies 19 meV/atom higher.

=====

<1>
DFT (PBE) results for a relaxed structure of Cs3Bi4Pb2.

Properties
total moment: 0.0 μB per formula unit
V: 407.9 Å³ per cell
DOS at the Fermi energy: 4.15 states/eV per cell

Lattice parameters (Å, degrees): 5.4332 7.5599 10.8441 100.41 90.07 111.00
Closest atoms and distances in Å follow each position.
Sites, in units of the cell vectors:
Cs 0.0000 0.0000 0.0000  6 Bi 4.03-4.18
Cs 0.3994 0.7989 0.2905  7 Bi 3.96-4.09, 4 Pb 4.06-4.30
Cs 0.6006 0.2011 0.7095  7 Bi 3.96-4.09, 4 Pb 4.06-4.30
Bi 0.0987 0.1970 0.4312  3 Pb 3.25, 1 Bi 3.40
Bi 0.2709 0.5420 0.9321  2 Bi 3.20, 1 Pb 3.26
Bi 0.7291 0.4580 0.0679  2 Bi 3.20, 1 Pb 3.26
Bi 0.9013 0.8030 0.5688  3 Pb 3.25, 1 Bi 3.40
Pb 0.2982 0.5962 0.6400  4 Bi 3.25-3.26
Pb 0.7018 0.4038 0.3600  4 Bi 3.25-3.26

=====

<2>
DFT (PBE) results for a relaxed structure of Cs3Bi4Pb2.

Properties
total moment: 0.0 μB per formula unit
V: 417.1 Å³ per cell
DOS at the Fermi energy: 1.45 states/eV per cell

Lattice parameters (Å, degrees): 7.9235 7.9235 10.9620 104.52 104.52 38.95
Closest atoms and distances in Å follow each position.
Sites, in units of the cell vectors:
Cs 0.0000 0.0000 0.0000  6 Bi 3.95-4.14
Cs 0.3621 0.3621 0.6432  3 Pb 3.80-4.05, 3 Bi 3.83-4.24
Cs 0.6379 0.6379 0.3568  3 Pb 3.80-4.05, 3 Bi 3.83-4.24
Bi 0.0482 0.0482 0.6454  1 Bi 3.13, 2 Pb 3.23
Bi 0.3041 0.3041 0.0019  1 Pb 3.06, 2 Bi 3.09
Bi 0.6958 0.6958 0.9981  1 Pb 3.06, 2 Bi 3.09
Bi 0.9518 0.9518 0.3546  1 Bi 3.13, 2 Pb 3.23
Pb 0.3234 0.3234 0.2867  3 Bi 3.06-3.23
Pb 0.6766 0.6766 0.7133  3 Bi 3.06-3.23

=====

In terms of stability, <1> leads; the second structure lies 36 meV/atom higher.

=====

<1>
DFT (PBE) results for a relaxed structure of Cs2BiPb.

Properties
total moment: 0.0 μB per formula unit
V: 599.4 Å³ per cell
DOS at the Fermi energy: 8.41 states/eV per cell

Lattice parameters (Å, degrees): 10.3501 10.3501 10.3501 95.04 95.04 145.53
Closest atoms and distances in Å follow each position.
Sites, in units of the cell vectors:
Cs 0.3750 0.2197 0.3447  2 Bi 3.82
Cs 0.7803 0.1250 0.1553  2 Bi 3.82
Cs 0.8750 0.0303 0.6553  2 Bi 3.82
Cs 0.9697 0.6250 0.8447  2 Bi 3.82
Bi 0.0000 0.0000 0.0000  2 Pb 3.07
Bi 0.7500 0.2500 0.5000  2 Pb 3.07
Pb 0.2500 0.7500 0.5000  2 Bi 3.07
Pb 0.5000 0.5000 0.0000  2 Bi 3.07

=====

<2>
DFT (PBE) results for a relaxed structure of Cs2BiPb.

Properties
total moment: 0.0 μB per formula unit
V: 213.5 Å³ per cell
DOS at the Fermi energy: 2.95 states/eV per cell

Lattice parameters (Å, degrees): 7.3727 7.3727 7.3727 142.13 75.48 117.47
Closest atoms and distances in Å follow each position.
Sites, in units of the cell vectors:
Cs 0.1916 0.0000 0.1916  3 Pb 3.94-3.95, 3 Bi 4.19-4.33
Cs 0.8084 0.0000 0.8084  3 Pb 3.94-3.95, 3 Bi 4.19-4.33
Bi 0.5361 0.5361 0.0000  2 Pb 3.06
Pb 0.2869 0.7869 0.5000  2 Bi 3.06

=====

In terms of stability, <2> leads; the second structure lies 204 meV/atom higher.

=====

<1>
DFT (PBE) results for a relaxed structure of Cs2Bi4Pb5.

Properties
total moment: 0.0 μB per formula unit
V: 467.4 Å³ per cell
DOS at the Fermi energy: 5.63 states/eV per cell

Lattice parameters (Å, degrees): 8.3992 8.3992 11.3984 126.38 126.38 50.30
Closest atoms and distances in Å follow each position.
Sites, in units of the cell vectors:
Cs 0.0299 0.0299 0.2631  5 Bi 4.04-4.31, 6 Pb 4.13-4.49
Cs 0.9701 0.9701 0.7369  5 Bi 4.04-4.31, 6 Pb 4.13-4.49
Bi 0.3431 0.3431 0.1067  5 Pb 3.19-3.49, 1 Bi 3.23
Bi 0.4185 0.4185 0.5339  2 Bi 3.04-3.23, 2 Pb 3.26
Bi 0.5815 0.5815 0.4661  2 Bi 3.04-3.23, 2 Pb 3.26
Bi 0.6569 0.6569 0.8933  5 Pb 3.19-3.49, 1 Bi 3.23
Pb 0.0191 0.4747 0.7692  3 Bi 3.19-3.49, 2 Pb 3.25-3.33
Pb 0.4747 0.0191 0.7692  3 Bi 3.19-3.49, 2 Pb 3.25-3.33
Pb 0.5000 0.5000 0.0000  2 Bi 3.31, 4 Pb 3.33
Pb 0.5253 0.9809 0.2308  3 Bi 3.19-3.49, 2 Pb 3.25-3.33
Pb 0.9809 0.5253 0.2308  3 Bi 3.19-3.49, 2 Pb 3.25-3.33

=====

<2>
DFT (PBE) results for a relaxed structure of Cs2Bi4Pb5.

Properties
total moment: 0.0 μB per formula unit
V: 451.2 Å³ per cell
DOS at the Fermi energy: 5.26 states/eV per cell

Lattice parameters (Å, degrees): 11.5805 10.4581 7.2367 79.48 62.61 37.91
Closest atoms and distances in Å follow each position.
Sites, in units of the cell vectors:
Cs 0.1348 0.1348 0.8652  6 Bi 4.08-4.54, 10 Pb 4.26-4.56
Cs 0.8652 0.8652 0.1348  6 Bi 4.08-4.54, 10 Pb 4.26-4.56
Bi 0.2255 0.4942 0.5058  3 Pb 3.18-3.21, 1 Bi 3.34
Bi 0.4942 0.2255 0.7745  3 Pb 3.18-3.21, 1 Bi 3.34
Bi 0.5058 0.7745 0.2255  3 Pb 3.18-3.21, 1 Bi 3.34
Bi 0.7745 0.5058 0.4942  3 Pb 3.18-3.21, 1 Bi 3.34
Pb 0.0000 0.0000 0.5000  4 Bi 3.61, 4 Pb 3.62-3.72
Pb 0.2500 0.2500 0.2500  4 Bi 3.18
Pb 0.5000 0.5000 0.0000  4 Bi 3.61, 4 Pb 3.62-3.72
Pb 0.5000 0.5000 0.5000  4 Bi 3.21
Pb 0.7500 0.7500 0.7500  4 Bi 3.18

=====

In terms of stability, <2> leads; the second structure lies 35 meV/atom higher.

=====

<1>
DFT (PBE) results for a relaxed structure of CsBi2Pb8.

Properties
total moment: 0.0 μB per formula unit
V: 503.0 Å³ per cell
DOS at the Fermi energy: 9.75 states/eV per cell

Lattice parameters (Å, degrees): 6.5479 6.5479 11.7308 90.00 90.00 90.00
Closest atoms and distances in Å follow each position.
Sites, in units of the cell vectors:
Cs 0.0000 0.0000 0.0000  8 Pb 4.16
Bi 0.0000 0.5000 0.5000  8 Pb 3.35
Bi 0.5000 0.0000 0.5000  8 Pb 3.35
Pb 0.2519 0.2519 0.2933  4 Pb 3.25-3.30, 2 Bi 3.35
Pb 0.2519 0.2519 0.7067  4 Pb 3.25-3.30, 2 Bi 3.35
Pb 0.2519 0.7481 0.2933  4 Pb 3.25-3.30, 2 Bi 3.35
Pb 0.2519 0.7481 0.7067  4 Pb 3.25-3.30, 2 Bi 3.35
Pb 0.7481 0.2519 0.2933  4 Pb 3.25-3.30, 2 Bi 3.35
Pb 0.7481 0.2519 0.7067  4 Pb 3.25-3.30, 2 Bi 3.35
Pb 0.7481 0.7481 0.2933  4 Pb 3.25-3.30, 2 Bi 3.35
Pb 0.7481 0.7481 0.7067  4 Pb 3.25-3.30, 2 Bi 3.35

=====

<2>
DFT (PBE) results for a relaxed structure of CsBi2Pb8.

Properties
total moment: 0.0 μB per formula unit
V: 441.5 Å³ per cell
DOS at the Fermi energy: 5.69 states/eV per cell

Lattice parameters (Å, degrees): 6.7889 6.7889 11.9984 102.85 102.85 55.58
Closest atoms and distances in Å follow each position.
Sites, in units of the cell vectors:
Cs 0.0000 0.0000 0.0000  12 Pb 4.09-4.27
Bi 0.4145 0.4145 0.6659  8 Pb 3.16-3.53
Bi 0.5855 0.5855 0.3341  8 Pb 3.16-3.53
Pb 0.0950 0.5971 0.3977  4 Pb 3.15-3.43, 2 Bi 3.41-3.50
Pb 0.2760 0.2760 0.8580  1 Bi 3.16, 5 Pb 3.37-3.48
Pb 0.3459 0.3459 0.1480  1 Bi 3.17, 5 Pb 3.37-3.48
Pb 0.4029 0.9050 0.6023  4 Pb 3.15-3.43, 2 Bi 3.41-3.50
Pb 0.5971 0.0950 0.3977  4 Pb 3.15-3.43, 2 Bi 3.41-3.50
Pb 0.6541 0.6541 0.8520  1 Bi 3.17, 5 Pb 3.37-3.48
Pb 0.7240 0.7240 0.1420  1 Bi 3.16, 5 Pb 3.37-3.48
Pb 0.9050 0.4029 0.6023  4 Pb 3.15-3.43, 2 Bi 3.41-3.50

=====

In terms of stability, <2> leads; the second structure lies 49 meV/atom higher.

=====

<1>
DFT (PBE) results for a relaxed structure of CsBi3Pb.

Properties
total moment: 0.0 μB per formula unit
V: 241.8 Å³ per cell
DOS at the Fermi energy: 4.08 states/eV per cell

Lattice parameters (Å, degrees): 6.2297 6.2297 6.2297 90.00 90.00 90.00
Closest atoms and distances in Å follow each position.
Sites, in units of the cell vectors:
Cs 0.0000 0.0000 0.0000  6 Bi 3.11
Bi 0.0000 0.0000 0.5000  2 Cs 3.11
Bi 0.0000 0.5000 0.0000  2 Cs 3.11
Bi 0.5000 0.0000 0.0000  2 Cs 3.11
Pb 0.5000 0.5000 0.5000  12 Bi 4.41

=====

<2>
DFT (PBE) results for a relaxed structure of CsBi3Pb.

Properties
total moment: 0.0 μB per formula unit
V: 228.8 Å³ per cell
DOS at the Fermi energy: 4.63 states/eV per cell

Lattice parameters (Å, degrees): 6.1160 6.1160 6.1160 90.00 90.00 90.00
Closest atoms and distances in Å follow each position.
Sites, in units of the cell vectors:
Cs 0.0000 0.0000 0.0000  12 Bi 4.32
Bi 0.0000 0.5000 0.5000  2 Pb 3.06
Bi 0.5000 0.0000 0.5000  2 Pb 3.06
Bi 0.5000 0.5000 0.0000  2 Pb 3.06
Pb 0.5000 0.5000 0.5000  6 Bi 3.06

=====

In terms of stability, <2> leads; the second structure lies 918 meV/atom higher.